# 1
VASP calculation (PBE-GGA) on crystalline Na4PrHo3S8 at its relaxed geometry.

Lattice parameters (Å, degrees): 8.0342 8.1453 8.0337 119.58 120.00 90.00
Atoms (fractional coordinates):
Pr: 0.0000 0.5000 0.0000
S: 0.7519 0.2713 0.5039
S: 0.7519 0.2712 0.0190
S: 0.7416 0.7244 0.4831
S: 0.2671 0.2712 0.0190
S: 0.2481 0.7288 0.9810
S: 0.7329 0.7288 0.9810
S: 0.2584 0.2756 0.5169
S: 0.2481 0.7287 0.4961
Na: 0.0000 0.0000 0.5000
Na: 0.5000 0.0000 0.0000
Na: 0.5000 0.0000 0.5000
Na: 0.0000 0.0000 0.0000
Ho: 0.5000 0.5000 0.0000
Ho: 0.5000 0.5000 0.5000
Ho: 0.0000 0.5000 0.5000

E ... -86.06 eV for the cell shown
Total magnetization ... 0.000 μB/cell
Uncorrected formation energy ... -1.8281 eV/atom



# 2
VASP calculation (PBE-GGA) on crystalline H4PbN at its relaxed geometry.

Lattice parameters (Å, degrees): 3.2870 6.7156 7.8843 129.07 90.00 90.00
Atoms (fractional coordinates):
H: 0.2224 0.1344 0.0611
H: 0.7776 0.8656 0.9389
H: 0.1253 0.9362 0.1109
H: 0.8747 0.4362 0.6109
H: 0.7776 0.6344 0.5611
H: 0.8747 0.0638 0.8891
H: 0.1253 0.5638 0.3891
H: 0.2224 0.3656 0.4389
N: 0.0000 0.5000 0.5000
N: 0.0000 0.0000 0.0000
Pb: 0.7309 0.2500 0.7500
Pb: 0.2691 0.7500 0.2500

E ... -45.75 eV for the cell shown
Total magnetization ... 0.000 μB/cell



# 3
VASP calculation (PBE-GGA) on crystalline La3PmY6Ho2 at its relaxed geometry.

Lattice parameters (Å, degrees): 6.2670 6.2670 11.9139 95.02 95.02 120.00
Atoms (fractional coordinates):
Ho: 0.3332 0.6668 0.0000
Ho: 0.6668 0.3332 0.0000
La: 0.1668 0.8332 0.5000
La: 0.5000 0.5000 0.5000
La: 0.8332 0.1668 0.5000
Y: 0.0817 0.4156 0.2454
Y: 0.4156 0.0817 0.2454
Y: 0.5844 0.9183 0.7546
Y: 0.7479 0.7479 0.2455
Y: 0.2521 0.2521 0.7545
Y: 0.9183 0.5844 0.7546
Pm: 0.0000 0.0000 0.0000

E ... -67.25 eV for the cell shown
Total magnetization ... 0.000 μB/cell



# 4
VASP calculation (PBE-GGA) on crystalline Pm6Ga2Au at its relaxed geometry.

Lattice parameters (Å, degrees): 8.7535 8.7535 8.7535 106.72 111.39 110.33
Atoms (fractional coordinates):
Ga: 0.5000 0.3775 0.8775
Ga: 0.6417 0.0000 0.6417
Ga: 0.5000 0.6225 0.1225
Ga: 0.3583 0.0000 0.3583
Pm: 0.4416 0.2673 0.1743
Pm: 0.2921 0.6195 0.3274
Pm: 0.2921 0.9647 0.6726
Pm: 0.7079 0.3805 0.6726
Pm: 0.8063 0.2552 0.0615
Pm: 0.7079 0.0353 0.3274
Pm: 0.1937 0.2552 0.4489
Pm: 0.8063 0.7448 0.5511
Pm: 0.9070 0.7327 0.1743
Pm: 0.0930 0.2673 0.8257
Pm: 0.1937 0.7448 0.9385
Pm: 0.5584 0.7327 0.8257
Au: 0.0000 0.5000 0.5000
Au: 0.0000 0.0000 0.0000

E ... -83.22 eV for the cell shown
Total magnetization ... 0.000 μB/cell
Energy relative to the lowest polymorph listed for this composition ... 0 kJ/mol of formula units



# 5
VASP calculation (PBE-GGA) on crystalline Y2PdC at its relaxed geometry.

Lattice parameters (Å, degrees): 4.7443 4.7443 4.7443 60.00 60.00 60.00
Atoms (fractional coordinates):
Pd: 0.5000 0.5000 0.5000
C: 0.0000 0.0000 0.0000
Y: 0.2500 0.2500 0.2500
Y: 0.7500 0.7500 0.7500

E ... -27.26 eV for the cell shown
Total magnetization ... 0.000 μB/cell
Energy relative to the lowest polymorph listed for this composition ... 190 kJ/mol of formula units



# 6
VASP calculation (PBE-GGA) on crystalline RbHfCo2 at its relaxed geometry.

Lattice parameters (Å, degrees): 4.7275 4.7275 4.7275 60.00 60.00 60.00
Site moments in Bohr magnetons follow the coordinates.
Atoms (fractional coordinates):
Co: 0.2500 0.2500 0.2500  0.89
Co: 0.7500 0.7500 0.7500  0.89
Hf: 0.5000 0.5000 0.5000  -0.34
Rb: 0.0000 0.0000 0.0000  -0.03

E ... -20.57 eV for the cell shown
Total magnetization ... 1.118 μB/cell
Energy relative to the lowest polymorph listed for this composition ... 0 kJ/mol of formula units